Here is a relaxed structure of ScRu2Pt from the Alexandria database. Energies are from PBE-GGA.

Cell: 9.0496 9.0496 9.0496 Å, 18.21 18.21 18.21°
With the nearest neighbours (Å) after each atom.
Fractional coordinates of all 4 atoms:
Sc  0.0000  0.0000  0.0000  6 Ru 2.78, 6 Sc 2.86
Ru  0.2497  0.2497  0.2497  3 Pt 2.77, 3 Sc 2.78, 6 Ru 2.86
Ru  0.7503  0.7503  0.7503  3 Pt 2.77, 3 Sc 2.78, 6 Ru 2.86
Pt  0.5000  0.5000  0.5000  6 Ru 2.77, 6 Pt 2.86

Electronic total energy ... -7.64 eV/atom
SG ... R-3m
V ... 63.2 Å³/cell
M_tot ... 0.00 μB/f.u.
Energy of formation ... 0.4 eV per formula unit

***

Here is a relaxed structure of Na3Zn5O12 from the Alexandria database. Energies are from PBE-GGA.

Cell: 10.8702 10.8702 10.8702 Å, 109.47 109.47 109.47°
With the nearest neighbours (Å) after each atom.
Fractional coordinates of all 80 atoms:
Na  0.1250  0.2500  0.3750  4 O 2.34
Na  0.1250  0.3750  0.7500  4 O 2.34
Na  0.2500  0.3750  0.1250  4 O 2.34
Na  0.2500  0.8750  0.6250  4 O 2.34
Na  0.3750  0.1250  0.2500  4 O 2.34
Na  0.3750  0.7500  0.1250  4 O 2.34
Na  0.6250  0.2500  0.8750  4 O 2.34
Na  0.6250  0.8750  0.7500  4 O 2.34
Na  0.7500  0.1250  0.3750  4 O 2.34
Na  0.7500  0.6250  0.8750  4 O 2.34
Na  0.8750  0.6250  0.2500  4 O 2.34
Na  0.8750  0.7500  0.6250  4 O 2.34
Zn  0.0000  0.0000  0.0000  6 O 2.04
Zn  0.0000  0.0000  0.5000  6 O 2.04
Zn  0.0000  0.5000  0.0000  6 O 2.04
Zn  0.0000  0.5000  0.5000  6 O 2.04
Zn  0.1250  0.7500  0.8750  4 O 1.93
Zn  0.1250  0.8750  0.2500  4 O 1.93
Zn  0.2500  0.1250  0.8750  4 O 1.93
Zn  0.2500  0.6250  0.3750  4 O 1.93
Zn  0.3750  0.2500  0.6250  4 O 1.93
Zn  0.3750  0.6250  0.7500  4 O 1.93
Zn  0.5000  0.0000  0.0000  6 O 2.04
Zn  0.5000  0.0000  0.5000  6 O 2.04
Zn  0.5000  0.5000  0.0000  6 O 2.04
Zn  0.5000  0.5000  0.5000  6 O 2.04
Zn  0.6250  0.3750  0.2500  4 O 1.93
Zn  0.6250  0.7500  0.3750  4 O 1.93
Zn  0.7500  0.3750  0.6250  4 O 1.93
Zn  0.7500  0.8750  0.1250  4 O 1.93
Zn  0.8750  0.1250  0.7500  4 O 1.93
Zn  0.8750  0.2500  0.1250  4 O 1.93
O  0.0274  0.2097  0.0994  2 Zn 1.93-2.04
O  0.0274  0.3177  0.9280  2 Zn 1.93-2.04
O  0.0720  0.5994  0.3897  2 Zn 1.93-2.04
O  0.0720  0.9726  0.6823  2 Zn 1.93-2.04
O  0.0994  0.0274  0.2097  2 Zn 1.93-2.04
O  0.0994  0.5720  0.8897  2 Zn 1.93-2.04
O  0.1103  0.7097  0.6823  2 Zn 1.93-2.04
O  0.1103  0.9006  0.4280  2 Zn 1.93-2.04
O  0.1823  0.2097  0.6103  2 Zn 1.93-2.04
O  0.1823  0.4726  0.5720  2 Zn 1.93-2.04
O  0.2097  0.0994  0.0274  2 Zn 1.93-2.04
O  0.2097  0.6103  0.1823  2 Zn 1.93-2.04
O  0.2903  0.3177  0.8897  2 Zn 1.93-2.04
O  0.2903  0.4726  0.4006  2 Zn 1.93-2.04
O  0.3177  0.8897  0.2903  2 Zn 1.93-2.04
O  0.3177  0.9280  0.0274  2 Zn 1.93-2.04
O  0.3897  0.0720  0.5994  2 Zn 1.93-2.04
O  0.3897  0.8177  0.7903  2 Zn 1.93-2.04
O  0.4006  0.2903  0.4726  2 Zn 1.93-2.04
O  0.4006  0.6103  0.9280  2 Zn 1.93-2.04
O  0.4280  0.1103  0.9006  2 Zn 1.93-2.04
O  0.4280  0.8177  0.5274  2 Zn 1.93-2.04
O  0.4726  0.4006  0.2903  2 Zn 1.93-2.04
O  0.4726  0.5720  0.1823  2 Zn 1.93-2.04
O  0.5274  0.4280  0.8177  2 Zn 1.93-2.04
O  0.5274  0.5994  0.7097  2 Zn 1.93-2.04
O  0.5720  0.1823  0.4726  2 Zn 1.93-2.04
O  0.5720  0.8897  0.0994  2 Zn 1.93-2.04
O  0.5994  0.3897  0.0720  2 Zn 1.93-2.04
O  0.5994  0.7097  0.5274  2 Zn 1.93-2.04
O  0.6103  0.1823  0.2097  2 Zn 1.93-2.04
O  0.6103  0.9280  0.4006  2 Zn 1.93-2.04
O  0.6823  0.0720  0.9726  2 Zn 1.93-2.04
O  0.6823  0.1103  0.7097  2 Zn 1.93-2.04
O  0.7097  0.5274  0.5994  2 Zn 1.93-2.04
O  0.7097  0.6823  0.1103  2 Zn 1.93-2.04
O  0.7903  0.3897  0.8177  2 Zn 1.93-2.04
O  0.7903  0.9006  0.9726  2 Zn 1.93-2.04
O  0.8177  0.5274  0.4280  2 Zn 1.93-2.04
O  0.8177  0.7903  0.3897  2 Zn 1.93-2.04
O  0.8897  0.0994  0.5720  2 Zn 1.93-2.04
O  0.8897  0.2903  0.3177  2 Zn 1.93-2.04
O  0.9006  0.4280  0.1103  2 Zn 1.93-2.04
O  0.9006  0.9726  0.7903  2 Zn 1.93-2.04
O  0.9280  0.0274  0.3177  2 Zn 1.93-2.04
O  0.9280  0.4006  0.6103  2 Zn 1.93-2.04
O  0.9726  0.6823  0.0720  2 Zn 1.93-2.04
O  0.9726  0.7903  0.9006  2 Zn 1.93-2.04

Electronic total energy ... -4.06 eV/atom
Formation energy from raw total energies ... -0.57 eV per atom
SG ... Ia-3d
V ... 988.8 Å³/cell
M_tot ... 11.00 μB/f.u.

***

Here is a relaxed structure of SrAcTb from the Alexandria database. Energies are from PBE-GGA.

Cell: 8.7246 8.7246 8.7246 Å, 154.01 154.01 37.09°
With the nearest neighbours (Å) after each atom.
Fractional coordinates of all 3 atoms:
Sr  0.0000  0.0000  0.0000  4 Sr 3.92, 4 Tb 3.94, 4 Ac 4.15
Ac  0.6866  0.6866  0.0000  4 Tb 3.66, 4 Ac 3.92
Tb  0.3312  0.3312  0.0000  4 Ac 3.66, 4 Tb 3.92, 4 Sr 3.94

Electronic total energy ... -3.37 eV/atom
SG ... I4mm
V ... 127.4 Å³/cell
M_tot ... 0.00 μB/f.u.
Energy of formation ... 0.3 eV per formula unit
E above lowest polymorph ... 0.000 eV per atom

***

Here is a relaxed structure of BeSN from the Alexandria database. Energies are from PBE-GGA.

Cell: 4.2911 4.2911 10.8905 Å, 92.13 92.13 130.63°
With the nearest neighbours (Å) after each atom.
Fractional coordinates of all 6 atoms:
Be  0.2352  0.2352  0.4454  3 S 2.00-2.06, 2 Be 2.15
Be  0.7648  0.7648  0.5546  3 S 2.00-2.06, 2 Be 2.15
S  0.2867  0.2867  0.6357  3 Be 2.00-2.06
S  0.7133  0.7133  0.3643  3 Be 2.00-2.06
N  0.0819  0.0819  0.0459  1 N 1.11
N  0.9181  0.9181  0.9541  1 N 1.11

Electronic total energy ... -5.83 eV/atom
Formation energy from raw total energies ... -0.44 eV per atom
SG ... C2/m
V ... 151.6 Å³/cell
M_tot ... 0.00 μB/f.u.

***

Here is a relaxed structure of Na2Ta2Tl from the Alexandria database. Energies are from PBE-GGA.

Cell: 9.3387 9.3387 2.9257 Å, 90.00 90.00 90.00°
With the nearest neighbours (Å) after each atom.
Fractional coordinates of all 10 atoms:
Na  0.1974  0.3026  0.0000  2 Na 2.93, 6 Ta 3.14-3.23
Na  0.3026  0.8026  0.0000  2 Na 2.93, 6 Ta 3.14-3.23
Na  0.6974  0.1974  0.0000  2 Na 2.93, 6 Ta 3.14-3.23
Na  0.8026  0.6974  0.0000  2 Na 2.93, 6 Ta 3.14-3.23
Ta  0.0925  0.5925  0.5000  1 Ta 2.44
Ta  0.4075  0.0925  0.5000  1 Ta 2.44
Ta  0.5925  0.9075  0.5000  1 Ta 2.44
Ta  0.9075  0.4075  0.5000  1 Ta 2.44
Tl  0.0000  0.0000  0.5000  2 Tl 2.93
Tl  0.5000  0.5000  0.5000  2 Tl 2.93

Electronic total energy ... -4.68 eV/atom
SG ... P4/mbm
V ... 255.2 Å³/cell
M_tot ... 0.00 μB/f.u.
Energy of formation ... 5.3 eV per formula unit
E above lowest polymorph ... 0.000 eV per atom

***

Here is a relaxed structure of Tm5PuSc4 from the Alexandria database. Energies are from PBE-GGA.

Cell: 7.7476 7.7476 7.7476 Å, 96.67 96.67 140.15°
With the nearest neighbours (Å) after each atom.
Fractional coordinates of all 10 atoms:
Tm  0.0000  0.0000  0.0000  2 Pu 2.64
Tm  0.3108  0.3108  0.6261  1 Pu 2.72
Tm  0.3108  0.6847  0.0000  1 Pu 2.72
Tm  0.6847  0.3108  0.0000  1 Pu 2.72
Tm  0.6847  0.6847  0.3739  1 Pu 2.72
Pu  0.5003  0.5003  0.0000  6 Tm 2.64-2.72
Sc  0.3288  0.9975  0.3313  7 Tm 3.23-3.59, 5 Sc 3.48-3.61
Sc  0.6662  0.9975  0.6687  7 Tm 3.23-3.59, 5 Sc 3.48-3.61
Sc  0.9975  0.3288  0.3313  7 Tm 3.23-3.59, 5 Sc 3.48-3.61
Sc  0.9975  0.6662  0.6687  7 Tm 3.23-3.59, 5 Sc 3.48-3.61

Electronic total energy ... -5.84 eV/atom
SG ... I4mm
V ... 280.2 Å³/cell
M_tot ... 5.56 μB/f.u.
Energy of formation ... 3.6 eV per formula unit

***

Here is a relaxed structure of BiPt2O from the Alexandria database. Energies are from PBE-GGA.

Cell: 4.5391 4.5391 4.5391 Å, 60.00 60.00 60.00°
With the nearest neighbours (Å) after each atom.
Fractional coordinates of all 4 atoms:
Bi  0.0000  0.0000  0.0000  8 Pt 2.78
Pt  0.2500  0.2500  0.2500  4 O 2.78, 4 Bi 2.78
Pt  0.7500  0.7500  0.7500  4 O 2.78, 4 Bi 2.78
O  0.5000  0.5000  0.5000  8 Pt 2.78

Electronic total energy ... -4.93 eV/atom
Formation energy from raw total energies ... 0.30 eV per atom
SG ... Fm-3m
V ... 66.1 Å³/cell
M_tot ... 0.00 μB/f.u.
E above lowest polymorph ... 0.308 eV per atom

***

Here is a relaxed structure of MoHRu3 from the Alexandria database. Energies are from PBE-GGA.

Cell: 4.6892 4.6892 4.6892 Å, 90.00 90.00 90.00°
With the nearest neighbours (Å) after each atom.
Fractional coordinates of all 5 atoms:
Mo  0.0000  0.0000  0.0000  6 Ru 2.34
H  0.5000  0.5000  0.5000  12 Ru 3.32
Ru  0.0000  0.0000  0.5000  2 Mo 2.34
Ru  0.0000  0.5000  0.0000  2 Mo 2.34
Ru  0.5000  0.0000  0.0000  2 Mo 2.34

Electronic total energy ... -6.16 eV/atom
SG ... Pm-3m
V ... 103.1 Å³/cell
M_tot ... 3.65 μB/f.u.
E above lowest polymorph ... 2.259 eV per atom

***

Here is a relaxed structure of AlCd2Te from the Alexandria database. Energies are from PBE-GGA.

Cell: 3.5192 3.5192 8.1390 Å, 90.00 90.00 90.00°
With the nearest neighbours (Å) after each atom.
Fractional coordinates of all 4 atoms:
Al  0.0000  0.0000  0.0000  4 Te 2.89, 4 Cd 3.19
Cd  0.0000  0.0000  0.4863  8 Cd 3.17-3.52
Cd  0.5000  0.5000  0.2451  8 Cd 3.17-3.52, 4 Al 3.19, 1 Te 3.47
Te  0.5000  0.5000  0.8183  4 Al 2.89

Electronic total energy ... -2.07 eV/atom
Formation energy from raw total energies ... 0.10 eV per atom
SG ... P4mm
V ... 100.8 Å³/cell
M_tot ... 0.00 μB/f.u.
E above lowest polymorph ... 0.129 eV per atom

***

Here is a relaxed structure of Tl2ClF from the Alexandria database. Energies are from PBE-GGA.

Cell: 7.9641 7.9641 7.9641 Å, 129.80 129.80 73.73°
With the nearest neighbours (Å) after each atom.
Fractional coordinates of all 8 atoms:
Tl  0.0699  0.6250  0.9449  2 F 2.67
Tl  0.3750  0.3199  0.4449  2 F 2.67
Tl  0.6801  0.1250  0.0551  2 F 2.67
Tl  0.8750  0.9301  0.5551  2 F 2.67
Cl  0.2500  0.7500  0.5000  4 Tl 3.11
Cl  0.5000  0.5000  0.0000  4 Tl 3.11
F  0.0000  0.0000  0.0000  4 Tl 2.67
F  0.7500  0.2500  0.5000  4 Tl 2.67

Electronic total energy ... -3.44 eV/atom
Formation energy from raw total energies ... -1.32 eV per atom
SG ... I-42d
V ... 290.9 Å³/cell
M_tot ... 0.00 μB/f.u.
E above lowest polymorph ... 0.027 eV per atom

***

Here is a relaxed structure of TmPt3Rh from the Alexandria database. Energies are from PBE-GGA.

Cell: 4.3452 6.4665 6.3313 Å, 90.00 90.00 90.00°
With the nearest neighbours (Å) after each atom.
Fractional coordinates of all 10 atoms:
Tm  0.2500  0.2500  0.2436  2 Rh 2.87, 6 Pt 2.89-2.91
Tm  0.7500  0.7500  0.7564  2 Rh 2.87, 6 Pt 2.89-2.91
Pt  0.2500  0.0491  0.7558  4 Pt 2.60-2.86, 3 Rh 2.70-2.81, 2 Tm 2.91
Pt  0.2500  0.4509  0.7558  4 Pt 2.60-2.86, 3 Rh 2.70-2.81, 2 Tm 2.91
Pt  0.2500  0.7500  0.4548  1 Rh 2.54, 2 Pt 2.72
Pt  0.7500  0.2500  0.5452  1 Rh 2.54, 2 Pt 2.72
Pt  0.7500  0.5491  0.2442  4 Pt 2.60-2.86, 3 Rh 2.70-2.81, 2 Tm 2.91
Pt  0.7500  0.9509  0.2442  4 Pt 2.60-2.86, 3 Rh 2.70-2.81, 2 Tm 2.91
Rh  0.2500  0.7500  0.0532  7 Pt 2.54-2.81
Rh  0.7500  0.2500  0.9468  7 Pt 2.54-2.81

Electronic total energy ... -6.52 eV/atom
SG ... Pmmn
V ... 177.9 Å³/cell
M_tot ... 0.00 μB/f.u.
Energy of formation ... -2.7 eV per formula unit
E above lowest polymorph ... 0.000 eV per atom

***

Here is a relaxed structure of Cs4NdU3O12 from the Alexandria database. Energies are from PBE-GGA.

Cell: 7.7099 7.7099 7.7099 Å, 109.47 109.47 109.47°
With the nearest neighbours (Å) after each atom.
Fractional coordinates of all 20 atoms:
Cs  0.0000  0.0000  0.5000  12 O 3.15
Cs  0.0000  0.5000  0.0000  12 O 3.15
Cs  0.5000  0.0000  0.0000  12 O 3.15
Cs  0.5000  0.5000  0.5000  12 O 3.15
Nd  0.0000  0.0000  0.0000  6 O 2.43
U  0.0000  0.5000  0.5000  6 O 2.03-2.23
U  0.5000  0.0000  0.5000  6 O 2.03-2.23
U  0.5000  0.5000  0.0000  6 O 2.03-2.23
O  0.0000  0.2725  0.2725  1 U 2.03
O  0.0000  0.7275  0.7275  1 U 2.03
O  0.2500  0.5000  0.7500  2 U 2.23
O  0.2500  0.7500  0.5000  2 U 2.23
O  0.2725  0.0000  0.2725  1 U 2.03
O  0.2725  0.2725  0.0000  1 U 2.03
O  0.5000  0.2500  0.7500  2 U 2.23
O  0.5000  0.7500  0.2500  2 U 2.23
O  0.7275  0.0000  0.7275  1 U 2.03
O  0.7275  0.7275  0.0000  1 U 2.03
O  0.7500  0.2500  0.5000  2 U 2.23
O  0.7500  0.5000  0.2500  2 U 2.23

Electronic total energy ... -7.89 eV/atom
Formation energy from raw total energies ... -2.81 eV per atom
SG ... Im-3m
V ... 352.8 Å³/cell
M_tot ... 1.00 μB/f.u.

***

Q: Look up the M_tot of the eighth one.
A: 3.65 μB/f.u.